# LiCuSbO4

An optimized crystal structure of LiCuSbO4 (PBE, the Alexandria database).

Computed properties:
* symmetry: P4_322 (95)
* uncorrected formation energy: -1.271 eV per atom
* offset from the most stable computed form: 7.04 kJ per mole of atoms

abc: 6.1479 6.1479 8.4707
angles: 90.00 90.00 90.00
With the nearest neighbours (Å) after each atom.
Fractional coordinates of all 28 atoms:
Li 0.0000 0.2118 0.0000  4 O 2.01-2.16
Li 0.0000 0.7882 0.5000  4 O 2.01-2.16
Li 0.2118 0.0000 0.2500  4 O 2.01-2.16
Li 0.7882 0.0000 0.7500  4 O 2.01-2.16
Cu 0.2454 0.2454 0.6250  4 O 1.92-2.08
Cu 0.2454 0.7546 0.8750  4 O 1.92-2.08
Cu 0.7546 0.2454 0.3750  4 O 1.92-2.08
Cu 0.7546 0.7546 0.1250  4 O 1.92-2.08
Sb 0.2285 0.5000 0.2500  6 O 1.96-2.09
Sb 0.5000 0.2285 0.0000  6 O 1.96-2.09
Sb 0.5000 0.7715 0.5000  6 O 1.96-2.09
Sb 0.7715 0.5000 0.7500  6 O 1.96-2.09
O 0.0165 0.2621 0.2523  1 Cu 1.92, 1 Sb 1.96, 1 Li 2.01
O 0.0165 0.7379 0.2477  1 Cu 1.92, 1 Sb 1.96, 1 Li 2.01
O 0.2621 0.0165 0.9977  1 Cu 1.92, 1 Sb 1.96, 1 Li 2.01
O 0.2621 0.9835 0.5023  1 Cu 1.92, 1 Sb 1.96, 1 Li 2.01
O 0.2649 0.4735 0.0110  2 Sb 2.04-2.09, 1 Cu 2.08
O 0.2649 0.5265 0.4890  2 Sb 2.04-2.09, 1 Cu 2.08
O 0.4735 0.2649 0.2390  2 Sb 2.04-2.09, 1 Cu 2.08
O 0.4735 0.7351 0.2610  2 Sb 2.04-2.09, 1 Cu 2.08
O 0.5265 0.2649 0.7610  2 Sb 2.04-2.09, 1 Cu 2.08
O 0.5265 0.7351 0.7390  2 Sb 2.04-2.09, 1 Cu 2.08
O 0.7351 0.4735 0.9890  2 Sb 2.04-2.09, 1 Cu 2.08
O 0.7351 0.5265 0.5110  2 Sb 2.04-2.09, 1 Cu 2.08
O 0.7379 0.0165 0.0023  1 Cu 1.92, 1 Sb 1.96, 1 Li 2.01
O 0.7379 0.9835 0.4977  1 Cu 1.92, 1 Sb 1.96, 1 Li 2.01
O 0.9835 0.2621 0.7477  1 Cu 1.92, 1 Sb 1.96, 1 Li 2.01
O 0.9835 0.7379 0.7523  1 Cu 1.92, 1 Sb 1.96, 1 Li 2.01

# Zr4AlPt

An optimized crystal structure of Zr4AlPt (PBE, the Alexandria database).

Computed properties:
* symmetry: F-43m (216)
* offset from the most stable computed form: 63.75 kJ per mole of atoms

abc: 5.6011 5.6011 5.6011
angles: 60.00 60.00 60.00
With the nearest neighbours (Å) after each atom.
Fractional coordinates of all 6 atoms:
Zr 0.1247 0.1247 0.1247  6 Zr 2.79-2.81
Zr 0.1247 0.1247 0.6258  6 Zr 2.79-2.81
Zr 0.1247 0.6258 0.1247  6 Zr 2.79-2.81
Zr 0.6258 0.1247 0.1247  6 Zr 2.79-2.81
Al 0.7500 0.7500 0.7500  12 Zr 3.28, 4 Pt 3.43
Pt 0.5000 0.5000 0.5000  12 Zr 3.28, 4 Al 3.43

# CaMoW2

An optimized crystal structure of CaMoW2 (PBE, the Alexandria database).

Computed properties:
* symmetry: Pmmm (47)
* offset from the most stable computed form: 31.60 kJ per mole of atoms

abc: 2.6810 4.8486 5.5532
angles: 90.00 90.00 90.00
With the nearest neighbours (Å) after each atom.
Fractional coordinates of all 4 atoms:
Ca 0.0000 0.0000 0.0000  2 Ca 2.68, 2 Mo 2.78
Mo 0.0000 0.0000 0.5000  2 Mo 2.68, 2 Ca 2.78
W 0.5000 0.5000 0.2600  4 W 2.67-2.89
W 0.5000 0.5000 0.7400  4 W 2.67-2.89

# ZnNiIr

An optimized crystal structure of ZnNiIr (PBE, the Alexandria database).

Computed properties:
* symmetry: C2/m (12)
* offset from the most stable computed form: 7.71 kJ per mole of atoms

abc: 13.4439 2.6979 4.5667
angles: 90.00 108.40 90.00
With the nearest neighbours (Å) after each atom.
Fractional coordinates of all 12 atoms:
Zn 0.2478 0.0000 0.2471  3 Ni 2.58-2.59, 6 Zn 2.65-2.70, 3 Ir 2.65-2.68
Zn 0.2522 0.5000 0.7529  3 Ni 2.58-2.59, 6 Zn 2.65-2.70, 3 Ir 2.65-2.68
Zn 0.7478 0.5000 0.2471  3 Ni 2.58-2.59, 6 Zn 2.65-2.70, 3 Ir 2.65-2.68
Zn 0.7522 0.0000 0.7529  3 Ni 2.58-2.59, 6 Zn 2.65-2.70, 3 Ir 2.65-2.68
Ni 0.0877 0.0000 0.7516  3 Zn 2.58-2.59, 6 Ir 2.59-2.72, 3 Ni 2.70-2.72
Ni 0.4123 0.5000 0.2484  3 Zn 2.58-2.59, 6 Ir 2.59-2.72, 3 Ni 2.70-2.72
Ni 0.5877 0.5000 0.7516  3 Zn 2.58-2.59, 6 Ir 2.59-2.72, 3 Ni 2.70-2.72
Ni 0.9123 0.0000 0.2484  3 Zn 2.58-2.59, 6 Ir 2.59-2.72, 3 Ni 2.70-2.72
Ir 0.0792 0.5000 0.2593  6 Ni 2.59-2.72, 3 Ir 2.64-2.70, 3 Zn 2.65-2.68
Ir 0.4208 0.0000 0.7407  6 Ni 2.59-2.72, 3 Ir 2.64-2.70, 3 Zn 2.65-2.68
Ir 0.5792 0.0000 0.2593  6 Ni 2.59-2.72, 3 Ir 2.64-2.70, 3 Zn 2.65-2.68
Ir 0.9208 0.5000 0.7407  6 Ni 2.59-2.72, 3 Ir 2.64-2.70, 3 Zn 2.65-2.68

# BaAlOs2

An optimized crystal structure of BaAlOs2 (PBE, the Alexandria database).

Computed properties:
* symmetry: Pmm2 (25)
* raw total energy: -6.7024 eV per atom

abc: 2.9319 3.7256 7.7112
angles: 90.00 90.00 90.00
With the nearest neighbours (Å) after each atom.
Fractional coordinates of all 4 atoms:
Ba 0.0000 0.0000 0.0000  2 Ba 2.93
Al 0.5000 0.5000 0.6680  5 Os 2.55-2.80
Os 0.0000 0.0000 0.4743  4 Os 2.60, 4 Al 2.80
Os 0.5000 0.5000 0.3370  1 Al 2.55, 4 Os 2.60

# LiTe2Pt

An optimized crystal structure of LiTe2Pt (PBE, the Alexandria database).

Computed properties:
* symmetry: Pmm2 (25)
* uncorrected formation energy: -0.382 eV per atom

abc: 3.7075 5.4958 4.2750
angles: 90.00 90.00 90.00
With the nearest neighbours (Å) after each atom.
Fractional coordinates of all 4 atoms:
Li 0.0000 0.0000 0.0000  6 Te 2.79-2.84
Te 0.0000 0.5000 0.1178  2 Li 2.79, 4 Pt 2.81-2.85
Te 0.5000 0.0000 0.5035  2 Pt 2.80, 4 Li 2.82-2.84
Pt 0.5000 0.5000 0.6246  6 Te 2.80-2.85

# MnFeMo2

An optimized crystal structure of MnFeMo2 (PBE, the Alexandria database).

Computed properties:
* symmetry: P4/mmm (123)
* offset from the most stable computed form: 8.74 kJ per mole of atoms

abc: 3.8116 3.8116 3.7227
angles: 90.00 90.00 90.00
With the nearest neighbours (Å) after each atom.
Fractional coordinates of all 4 atoms:
Mn 0.0000 0.0000 0.0000  8 Mo 2.66, 4 Fe 2.70
Fe 0.5000 0.5000 0.0000  8 Mo 2.66, 4 Mn 2.70
Mo 0.0000 0.5000 0.5000  4 Fe 2.66, 4 Mn 2.66, 4 Mo 2.70
Mo 0.5000 0.0000 0.5000  4 Fe 2.66, 4 Mn 2.66, 4 Mo 2.70

# SiOsCl

An optimized crystal structure of SiOsCl (PBE, the Alexandria database).

Computed properties:
* symmetry: I4mm (107)
* uncorrected formation energy: 0.499 eV per atom
* offset from the most stable computed form: 24.09 kJ per mole of atoms

abc: 3.0683 3.0683 11.3423
angles: 90.00 90.00 90.00
With the nearest neighbours (Å) after each atom.
Fractional coordinates of all 6 atoms:
Si 0.0000 0.0000 0.0000  4 Os 2.40
Si 0.5000 0.5000 0.5000  4 Os 2.40
Os 0.0000 0.0000 0.4086  4 Si 2.40
Os 0.5000 0.5000 0.9086  4 Si 2.40
Cl 0.0000 0.0000 0.7364  4 Os 2.92, 1 Si 2.99, 4 Cl 3.07
Cl 0.5000 0.5000 0.2364  4 Os 2.92, 1 Si 2.99, 4 Cl 3.07

Record order is preserved below.
Fermi-level density of states: 18.03; 6.10; 2.95; 12.38; 2.71; 2.83; 5.45; 3.60 states/eV per cell